Here is crystalline TaSiNO at its relaxed geometry from OQMD. Energies are from PBE.

Values from the calculation:
Space-group type: Pmc2_1, No. 26
Polymorph energy (0 for the lowest one), eV per atom: 0.0000
E_tot, eV/atom: -8.738
M_tot, μB/f.u.: 0.00

Cell and atoms, written as POSCAR:
```
TaSiNO
1.0
2.834 0.000 0.000
0.000 5.624 0.000
0.000 0.000 5.781
Ta N Si O
2 2 2 2
direct
0.000 0.951 0.706 Ta
0.000 0.451 0.294 Ta
0.000 0.321 0.650 N
0.000 0.821 0.350 N
0.500 0.002 0.272 Si
0.500 0.502 0.728 Si
0.500 0.979 0.975 O
0.500 0.479 0.025 O
```